Density functional theory data (PBE-GGA) for a relaxed structure of ZnGeAsIrAu.

Cell: 4.3381 4.0971 5.3805 Å, 90.00 101.09 90.00°
Last column: nearest neighbours and their distance in Å.
Space group Pm (No. 6)
Unique sites:
1 Zn 0.0000 0.0000 0.0000 (multiplicity 1)  2 Ir 2.67, 2 Au 2.70, 2 As 2.71-2.78, 2 Ge 2.99
2 Ge 0.4912 0.5000 0.9602 (multiplicity 1)  2 Ir 2.45, 1 Au 2.60
3 As 0.8713 0.0000 0.4858 (multiplicity 1)  2 Ir 2.44-2.48, 2 Au 2.67, 1 Zn 2.71
4 Ir 0.4289 0.0000 0.7043 (multiplicity 1)  2 As 2.44-2.48, 2 Ge 2.45, 2 Zn 2.67
5 Au 0.1763 0.5000 0.3244 (multiplicity 1)  1 Ge 2.60, 2 As 2.67, 2 Zn 2.70

Results
Formation energy ... -61.1 meV per atom
Calculated total energy ... -0.338 Ry per atom
E above lowest polymorph ... 55 meV per atom

Density functional theory data (PBE-GGA) for a relaxed structure of Tm5Fe2Hg2.

Cell: 16.4101 7.1108 7.1822 Å, 90.00 90.00 90.00°
Last column: nearest neighbours and their distance in Å.
Space group Cmce (No. 64)
Unique sites:
1 Tm 0.0000 0.0000 0.0000 (multiplicity 4)  4 Fe 2.91
2 Tm 0.1222 0.1823 0.3190 (multiplicity 16)  3 Fe 2.91-2.94, 3 Hg 3.09-3.13
3 Fe 0.0000 0.1056 0.6086 (multiplicity 8)  1 Fe 2.17
4 Hg 0.2233 0.0000 0.0000 (multiplicity 8)  6 Tm 3.09-3.13

Results
Formation energy ... -240.7 meV per atom
Calculated total energy ... -0.343 Ry per atom